No. 1
! La2Al2I (PBE, optimized geometry); values from VASP
&SYSTEM
  ibrav = 0, nat = 15, ntyp = 3
/
ATOMIC_SPECIES
La 138.91 La.upf
Al 26.98 Al.upf
I 126.90 I.upf
CELL_PARAMETERS angstrom
4.405 0.000 0.000
-2.203 3.815 0.000
0.000 0.000 26.346
ATOMIC_POSITIONS angstrom
La 0.000 0.000 2.104
La 0.000 0.000 24.241
La 0.000 2.543 15.460
La 0.000 2.543 19.668
La 2.203 1.272 6.678
La 2.203 1.272 10.886
Al 0.000 0.000 8.667
Al 0.000 0.000 17.678
Al 0.000 2.543 8.896
Al 0.000 2.543 26.231
Al 2.203 1.272 0.114
Al 2.203 1.272 17.449
I 0.000 0.000 13.173
I 0.000 2.543 4.391
I 2.203 1.272 21.955
! - crystal system = trigonal
! - space group = R-3m, No. 166
! - formation energy from raw total energies (eV per formula unit) = -4.0

---

No. 2
! Ac6TlSn5 (PBE, optimized geometry); values from VASP
&SYSTEM
  ibrav = 0, nat = 12, ntyp = 3
/
ATOMIC_SPECIES
Ac 227.00 Ac.upf
Tl 204.38 Tl.upf
Sn 118.71 Sn.upf
CELL_PARAMETERS angstrom
4.515 -6.280 0.000
4.515 6.280 0.000
-1.801 0.000 8.163
ATOMIC_POSITIONS angstrom
Ac 0.728 2.197 5.942
Ac 1.500 0.000 1.723
Ac 0.728 -2.197 5.942
Ac 6.501 2.197 2.221
Ac 5.729 0.000 6.440
Ac 6.501 -2.197 2.221
Tl 4.515 0.000 0.000
Sn -0.900 0.000 4.081
Sn 4.515 3.700 0.000
Sn 3.614 1.511 4.081
Sn 3.614 -1.511 4.081
Sn 4.515 -3.700 0.000
! - crystal system = monoclinic
! - ΔH_f (0 K) (meV/atom) = -515
! - space group = C2/m, No. 12